The following is a DFT calculation (PBE) of an optimized crystal structure of LiLaSc2Pd4.

extended XYZ file:
```
8
Lattice="-2.0640 -3.7694 -1.6224 1.7565 -4.1480 0.8997 -4.8452 -3.1044 6.8736" Properties=species:S:1:pos:R:3 pbc="T T T"
Pd -3.0525 -2.9285 4.1843
La 0.0000 0.0000 0.0000
Pd -1.1353 -5.3695 0.9137
Pd -2.1002 -8.0932 1.9665
Li -2.5763 -5.5109 3.0754
Sc -1.5431 -2.7804 1.9201
Pd -4.0174 -5.6522 5.2371
Sc -3.6095 -8.2413 4.2307
```

Output
* VASP energy: -5.79 eV/atom
* calculated volume: 156.5 Å³ per cell

---

The following is a DFT calculation (PBE) of an optimized crystal structure of ErCd2In.

extended XYZ file:
```
4
Lattice="4.6882 0.0000 0.0000 0.0000 4.5100 0.0000 0.0000 0.0000 4.5100" Properties=species:S:1:pos:R:3 pbc="T T T"
In 2.3441 0.0000 0.0000
Cd 0.0000 2.2550 0.0000
Er 2.3441 2.2550 2.2550
Cd 0.0000 0.0000 2.2550
```

Output
* ΔE to the lowest computed polymorph: 0.0000 eV/atom
* VASP energy: -2.58 eV/atom
* calculated volume: 95.4 Å³ per cell

---

The following is a DFT calculation (PBE) of an optimized crystal structure of CaSm2HfAs4.

extended XYZ file:
```
8
Lattice="4.1026 0.0000 0.0000 0.0000 7.1637 0.1659 0.0000 -2.4627 6.6155" Properties=species:S:1:pos:R:3 pbc="T T T"
Hf 0.0000 0.0000 0.0000
Sm 0.0000 2.3505 3.3907
Sm 2.0513 -1.2313 3.3077
As 2.0513 1.1000 1.5701
As 0.0000 4.8598 1.7093
As 0.0000 -0.1588 5.0721
As 2.0513 3.6010 5.2113
Ca 2.0513 3.5818 0.0830
```

Output
* VASP energy: -6.28 eV/atom
* calculated volume: 196.1 Å³ per cell

---

The following is a DFT calculation (PBE) of an optimized crystal structure of Sm2Th5.

extended XYZ file:
```
7
Lattice="-2.6432 1.7841 -3.9207 -3.4659 -2.7996 4.3199 0.0483 7.3178 3.2973" Properties=species:S:1:pos:R:3 pbc="T T T"
Sm -5.3970 4.9760 2.6455
Th -3.3948 -0.8319 1.9101
Th -4.0390 2.4128 0.5637
Sm -0.6638 1.3262 1.0510
Th -1.2974 4.5509 -0.3117
Th -2.0218 3.8894 3.1328
Th -2.6659 7.1342 1.7864
```

Output
* VASP energy: -6.59 eV/atom
* calculated volume: 227.6 Å³ per cell

---

In order of appearance, theoretical density = 7.02; 8.83; 6.93; 10.66 Mg/m³.
In order of appearance, DFT formation energy = -0.753; -0.299; -1.285; 0.060 eV/atom.